(1)
The following is a GGA-PBE calculation of crystalline IrWSe2 at its relaxed geometry, from the Alexandria database.

CIF file:
```
data_IrWSe2
_chemical_formula_sum 'Ir1 W1 Se2'
_symmetry_space_group_name_H-M 'P 1'
_symmetry_Int_Tables_number 1
_cell_length_a 9.843
_cell_length_b 9.843
_cell_length_c 9.843
_cell_angle_alpha 17.68
_cell_angle_beta 17.68
_cell_angle_gamma 17.68
loop_
_symmetry_equiv_pos_as_xyz
'x,y,z'
loop_
_atom_site_label
_atom_site_fract_x
_atom_site_fract_y
_atom_site_fract_z
Ir1 0.000 0.000 0.000
W1 0.258 0.258 0.258
Se1 0.529 0.529 0.529
Se2 0.734 0.734 0.734
```

formation energy (no corrections)	0.09	eV/atom
space group	No. 160
E	-7.104	eV per atom
energy above the most stable polymorph in this dataset	0.0574	eV/atom

(2)
The following is a GGA-PBE calculation of crystalline IrWSe at its relaxed geometry, from the Alexandria database.

CIF file:
```
data_IrWSe
_chemical_formula_sum 'Ir1 W1 Se1'
_symmetry_space_group_name_H-M 'P 1'
_symmetry_Int_Tables_number 1
_cell_length_a 5.805
_cell_length_b 5.805
_cell_length_c 3.006
_cell_angle_alpha 90.76
_cell_angle_beta 90.76
_cell_angle_gamma 29.67
loop_
_symmetry_equiv_pos_as_xyz
'x,y,z'
loop_
_atom_site_label
_atom_site_fract_x
_atom_site_fract_y
_atom_site_fract_z
Ir1 0.000 0.000 0.000
W1 0.353 0.353 0.493
Se1 0.706 0.706 0.989
```

formation energy (no corrections)	0.11	eV/atom
space group	No. 8
E	-8.328	eV per atom
energy above the most stable polymorph in this dataset	0.0017	eV/atom

(3)
The following is a GGA-PBE calculation of crystalline IrW2Se at its relaxed geometry, from the Alexandria database.

CIF file:
```
data_IrW2Se
_chemical_formula_sum 'Ir1 W2 Se1'
_symmetry_space_group_name_H-M 'P 1'
_symmetry_Int_Tables_number 1
_cell_length_a 4.460
_cell_length_b 4.460
_cell_length_c 4.460
_cell_angle_alpha 60.00
_cell_angle_beta 60.00
_cell_angle_gamma 60.00
loop_
_symmetry_equiv_pos_as_xyz
'x,y,z'
loop_
_atom_site_label
_atom_site_fract_x
_atom_site_fract_y
_atom_site_fract_z
Ir1 0.000 0.000 0.000
W1 0.250 0.250 0.250
W2 0.750 0.750 0.750
Se1 0.500 0.500 0.500
```

formation energy (no corrections)	0.41	eV/atom
space group	No. 225
E	-9.148	eV per atom
energy above the most stable polymorph in this dataset	0.2507	eV/atom

(4)
The following is a GGA-PBE calculation of crystalline IrW2Se at its relaxed geometry, from the Alexandria database.

CIF file:
```
data_IrW2Se
_chemical_formula_sum 'Ir1 W2 Se1'
_symmetry_space_group_name_H-M 'P 1'
_symmetry_Int_Tables_number 1
_cell_length_a 3.783
_cell_length_b 3.783
_cell_length_c 4.531
_cell_angle_alpha 90.00
_cell_angle_beta 90.00
_cell_angle_gamma 90.00
loop_
_symmetry_equiv_pos_as_xyz
'x,y,z'
loop_
_atom_site_label
_atom_site_fract_x
_atom_site_fract_y
_atom_site_fract_z
Ir1 0.000 0.000 0.000
W1 0.000 0.500 0.500
W2 0.500 0.000 0.500
Se1 0.500 0.500 0.000
```

formation energy (no corrections)	0.66	eV/atom
space group	No. 123
E	-8.900	eV per atom
energy above the most stable polymorph in this dataset	0.4990	eV/atom

(5)
The following is a GGA-PBE calculation of crystalline IrW2Se at its relaxed geometry, from the Alexandria database.

CIF file:
```
data_IrW2Se
_chemical_formula_sum 'Ir1 W2 Se1'
_symmetry_space_group_name_H-M 'P 1'
_symmetry_Int_Tables_number 1
_cell_length_a 2.825
_cell_length_b 4.255
_cell_length_c 5.507
_cell_angle_alpha 90.00
_cell_angle_beta 104.61
_cell_angle_gamma 90.00
loop_
_symmetry_equiv_pos_as_xyz
'x,y,z'
loop_
_atom_site_label
_atom_site_fract_x
_atom_site_fract_y
_atom_site_fract_z
Ir1 0.000 0.000 0.000
W1 0.393 0.500 0.784
W2 0.741 0.000 0.490
Se1 0.616 0.500 0.250
```

formation energy (no corrections)	0.35	eV/atom
space group	No. 6
E	-9.212	eV per atom
energy above the most stable polymorph in this dataset	0.1870	eV/atom

(6)
The following is a GGA-PBE calculation of crystalline IrW2Se at its relaxed geometry, from the Alexandria database.

CIF file:
```
data_IrW2Se
_chemical_formula_sum 'Ir1 W2 Se1'
_symmetry_space_group_name_H-M 'P 1'
_symmetry_Int_Tables_number 1
_cell_length_a 2.935
_cell_length_b 2.935
_cell_length_c 7.510
_cell_angle_alpha 90.00
_cell_angle_beta 90.00
_cell_angle_gamma 90.00
loop_
_symmetry_equiv_pos_as_xyz
'x,y,z'
loop_
_atom_site_label
_atom_site_fract_x
_atom_site_fract_y
_atom_site_fract_z
Ir1 0.000 0.000 0.000
W1 0.000 0.000 0.498
W2 0.500 0.500 0.774
Se1 0.500 0.500 0.285
```

formation energy (no corrections)	0.19	eV/atom
space group	No. 99
E	-9.370	eV per atom
energy above the most stable polymorph in this dataset	0.0287	eV/atom

(7)
The following is a GGA-PBE calculation of crystalline IrW2Se at its relaxed geometry, from the Alexandria database.

CIF file:
```
data_IrW2Se
_chemical_formula_sum 'Ir1 W2 Se1'
_symmetry_space_group_name_H-M 'P 1'
_symmetry_Int_Tables_number 1
_cell_length_a 2.908
_cell_length_b 3.938
_cell_length_c 5.630
_cell_angle_alpha 90.00
_cell_angle_beta 90.00
_cell_angle_gamma 90.00
loop_
_symmetry_equiv_pos_as_xyz
'x,y,z'
loop_
_atom_site_label
_atom_site_fract_x
_atom_site_fract_y
_atom_site_fract_z
Ir1 0.000 0.000 0.000
W1 0.000 0.000 0.497
W2 0.500 0.500 0.824
Se1 0.500 0.500 0.318
```

formation energy (no corrections)	0.35	eV/atom
space group	No. 25
E	-9.213	eV per atom
energy above the most stable polymorph in this dataset	0.1864	eV/atom

(8)
The following is a GGA-PBE calculation of crystalline IrW2Se at its relaxed geometry, from the Alexandria database.

CIF file:
```
data_IrW2Se
_chemical_formula_sum 'Ir1 W2 Se1'
_symmetry_space_group_name_H-M 'P 1'
_symmetry_Int_Tables_number 1
_cell_length_a 4.504
_cell_length_b 4.504
_cell_length_c 4.504
_cell_angle_alpha 60.00
_cell_angle_beta 60.00
_cell_angle_gamma 60.00
loop_
_symmetry_equiv_pos_as_xyz
'x,y,z'
loop_
_atom_site_label
_atom_site_fract_x
_atom_site_fract_y
_atom_site_fract_z
Ir1 0.000 0.000 0.000
W1 0.500 0.500 0.500
W2 0.750 0.750 0.750
Se1 0.250 0.250 0.250
```

formation energy (no corrections)	0.68	eV/atom
space group	No. 216
E	-8.887	eV per atom
energy above the most stable polymorph in this dataset	0.5116	eV/atom

(9)
The following is a GGA-PBE calculation of crystalline Ir2W2Se at its relaxed geometry, from the Alexandria database.

CIF file:
```
data_Ir2W2Se
_chemical_formula_sum 'Ir4 W4 Se2'
_symmetry_space_group_name_H-M 'P 1'
_symmetry_Int_Tables_number 1
_cell_length_a 7.779
_cell_length_b 7.779
_cell_length_c 2.785
_cell_angle_alpha 90.00
_cell_angle_beta 90.00
_cell_angle_gamma 90.00
loop_
_symmetry_equiv_pos_as_xyz
'x,y,z'
loop_
_atom_site_label
_atom_site_fract_x
_atom_site_fract_y
_atom_site_fract_z
Ir1 0.126 0.374 0.000
Ir2 0.374 0.874 0.000
Ir3 0.626 0.126 0.000
Ir4 0.874 0.626 0.000
W1 0.165 0.665 0.500
W2 0.335 0.165 0.500
W3 0.665 0.835 0.500
W4 0.835 0.335 0.500
Se1 0.000 0.000 0.500
Se2 0.500 0.500 0.500
```

formation energy (no corrections)	0.16	eV/atom
space group	No. 127
E	-9.265	eV per atom
energy above the most stable polymorph in this dataset	0.0000	eV/atom

(10)
The following is a GGA-PBE calculation of crystalline IrWSe2 at its relaxed geometry, from the Alexandria database.

CIF file:
```
data_IrWSe2
_chemical_formula_sum 'Ir1 W1 Se2'
_symmetry_space_group_name_H-M 'P 1'
_symmetry_Int_Tables_number 1
_cell_length_a 2.979
_cell_length_b 4.313
_cell_length_c 5.252
_cell_angle_alpha 90.00
_cell_angle_beta 90.00
_cell_angle_gamma 90.00
loop_
_symmetry_equiv_pos_as_xyz
'x,y,z'
loop_
_atom_site_label
_atom_site_fract_x
_atom_site_fract_y
_atom_site_fract_z
Ir1 0.000 0.000 0.000
W1 0.500 0.000 0.500
Se1 0.000 0.500 0.500
Se2 0.500 0.500 0.000
```

formation energy (no corrections)	0.75	eV/atom
space group	No. 47
E	-6.449	eV per atom
energy above the most stable polymorph in this dataset	0.7126	eV/atom

(11)
The following is a GGA-PBE calculation of crystalline IrW2Se at its relaxed geometry, from the Alexandria database.

CIF file:
```
data_IrW2Se
_chemical_formula_sum 'Ir1 W2 Se1'
_symmetry_space_group_name_H-M 'P 1'
_symmetry_Int_Tables_number 1
_cell_length_a 3.037
_cell_length_b 4.530
_cell_length_c 4.665
_cell_angle_alpha 90.00
_cell_angle_beta 90.00
_cell_angle_gamma 90.00
loop_
_symmetry_equiv_pos_as_xyz
'x,y,z'
loop_
_atom_site_label
_atom_site_fract_x
_atom_site_fract_y
_atom_site_fract_z
Ir1 0.000 0.000 0.000
W1 0.000 0.500 0.500
W2 0.500 0.000 0.500
Se1 0.500 0.500 0.000
```

formation energy (no corrections)	0.53	eV/atom
space group	No. 47
E	-9.032	eV per atom
energy above the most stable polymorph in this dataset	0.3674	eV/atom

(12)
The following is a GGA-PBE calculation of crystalline IrW3Se at its relaxed geometry, from the Alexandria database.

CIF file:
```
data_IrW3Se
_chemical_formula_sum 'Ir1 W3 Se1'
_symmetry_space_group_name_H-M 'P 1'
_symmetry_Int_Tables_number 1
_cell_length_a 4.787
_cell_length_b 4.787
_cell_length_c 4.787
_cell_angle_alpha 90.00
_cell_angle_beta 90.00
_cell_angle_gamma 90.00
loop_
_symmetry_equiv_pos_as_xyz
'x,y,z'
loop_
_atom_site_label
_atom_site_fract_x
_atom_site_fract_y
_atom_site_fract_z
Ir1 0.000 0.000 0.000
W1 0.000 0.000 0.500
W2 0.000 0.500 0.000
W3 0.500 0.000 0.000
Se1 0.500 0.500 0.500
```

formation energy (no corrections)	2.01	eV/atom
space group	No. 221
E	-8.227	eV per atom
energy above the most stable polymorph in this dataset	0.2673	eV/atom

(13)
The following is a GGA-PBE calculation of crystalline IrW2Se at its relaxed geometry, from the Alexandria database.

CIF file:
```
data_IrW2Se
_chemical_formula_sum 'Ir1 W2 Se1'
_symmetry_space_group_name_H-M 'P 1'
_symmetry_Int_Tables_number 1
_cell_length_a 2.838
_cell_length_b 4.156
_cell_length_c 5.576
_cell_angle_alpha 90.00
_cell_angle_beta 104.65
_cell_angle_gamma 90.00
loop_
_symmetry_equiv_pos_as_xyz
'x,y,z'
loop_
_atom_site_label
_atom_site_fract_x
_atom_site_fract_y
_atom_site_fract_z
Ir1 0.000 0.000 0.000
W1 0.346 0.500 0.752
W2 0.654 0.500 0.248
Se1 0.000 0.000 0.500
```

formation energy (no corrections)	0.35	eV/atom
space group	No. 10
E	-9.215	eV per atom
energy above the most stable polymorph in this dataset	0.1836	eV/atom

(14)
The following is a GGA-PBE calculation of crystalline IrWSe2 at its relaxed geometry, from the Alexandria database.

CIF file:
```
data_IrWSe2
_chemical_formula_sum 'Ir1 W1 Se2'
_symmetry_space_group_name_H-M 'P 1'
_symmetry_Int_Tables_number 1
_cell_length_a 8.289
_cell_length_b 8.289
_cell_length_c 8.289
_cell_angle_alpha 23.15
_cell_angle_beta 23.15
_cell_angle_gamma 23.15
loop_
_symmetry_equiv_pos_as_xyz
'x,y,z'
loop_
_atom_site_label
_atom_site_fract_x
_atom_site_fract_y
_atom_site_fract_z
Ir1 0.000 0.000 0.000
W1 0.500 0.500 0.500
Se1 0.399 0.399 0.399
Se2 0.601 0.601 0.601
```

formation energy (no corrections)	0.65	eV/atom
space group	No. 166
E	-6.541	eV per atom
energy above the most stable polymorph in this dataset	0.6204	eV/atom

(15)
The following is a GGA-PBE calculation of crystalline IrWSe at its relaxed geometry, from the Alexandria database.

CIF file:
```
data_IrWSe
_chemical_formula_sum 'Ir1 W1 Se1'
_symmetry_space_group_name_H-M 'P 1'
_symmetry_Int_Tables_number 1
_cell_length_a 5.747
_cell_length_b 5.747
_cell_length_c 5.747
_cell_angle_alpha 149.63
_cell_angle_beta 149.63
_cell_angle_gamma 43.49
loop_
_symmetry_equiv_pos_as_xyz
'x,y,z'
loop_
_atom_site_label
_atom_site_fract_x
_atom_site_fract_y
_atom_site_fract_z
Ir1 0.000 0.000 0.000
W1 0.345 0.345 0.000
Se1 0.693 0.693 0.000
```

formation energy (no corrections)	0.15	eV/atom
space group	No. 107
E	-8.285	eV per atom
energy above the most stable polymorph in this dataset	0.0448	eV/atom